P | Below is crystalline SbTeSeI2 at its relaxed geometry, with properties calculated at the PBE-GGA level.

Output
crystal system = tetragonal
size of the total moment = 2.77 μB per formula unit

Unit cell a=6.005 b=6.005 c=5.843 alpha=90.00 beta=90.00 gamma=90.00
Space group P4/mmm (No. 123)
One atom of each set of equivalent atoms:
Sb (0.000, 0.000, 0.000)
Te (0.000, 0.000, 0.500)
Se (0.500, 0.500, 0.500)
I (0.000, 0.500, 0.000)


Q | Below is crystalline SbTeSeI2 at its relaxed geometry, with properties calculated at the PBE-GGA level.

Output
crystal system = tetragonal
size of the total moment = 0.55 μB per formula unit

Unit cell a=5.743 b=5.743 c=6.219 alpha=90.00 beta=90.00 gamma=90.00
Space group P4/mmm (No. 123)
One atom of each set of equivalent atoms:
Sb (0.000, 0.000, 0.000)
Te (0.000, 0.000, 0.500)
Se (0.500, 0.500, 0.000)
I (0.000, 0.500, 0.500)


P wins, 185 meV/atom ahead of the next structure.


P | Below is crystalline SbTeSeI2 at its relaxed geometry, with properties calculated at the PBE-GGA level.

Output
crystal system = tetragonal
size of the total moment = 0.00 μB per formula unit

Unit cell a=5.391 b=5.391 c=6.235 alpha=90.00 beta=90.00 gamma=90.00
Space group P4/mmm (No. 123)
One atom of each set of equivalent atoms:
Sb (0.000, 0.000, 0.000)
Te (0.500, 0.500, 0.000)
Se (0.000, 0.000, 0.500)
I (0.000, 0.500, 0.500)


Q | Below is crystalline SbTeSeI2 at its relaxed geometry, with properties calculated at the PBE-GGA level.

Output
crystal system = tetragonal
size of the total moment = 0.00 μB per formula unit

Unit cell a=5.620 b=5.620 c=5.624 alpha=90.00 beta=90.00 gamma=90.00
Space group P4/mmm (No. 123)
One atom of each set of equivalent atoms:
Sb (0.000, 0.000, 0.000)
Te (0.500, 0.500, 0.000)
Se (0.500, 0.500, 0.500)
I (0.000, 0.500, 0.500)


Q wins, 14 meV/atom ahead of the next structure.


P | Below is crystalline VSbSeI2 at its relaxed geometry, with properties calculated at the PBE-GGA level.

Output
crystal system = tetragonal
size of the total moment = 3.28 μB per formula unit

Unit cell a=5.742 b=5.742 c=5.466 alpha=90.00 beta=90.00 gamma=90.00
Space group P4/mmm (No. 123)
One atom of each set of equivalent atoms:
V (0.000, 0.000, 0.000)
Sb (0.500, 0.500, 0.000)
Se (0.500, 0.500, 0.500)
I (0.000, 0.500, 0.500)


Q | Below is crystalline VSbSeI2 at its relaxed geometry, with properties calculated at the PBE-GGA level.

Output
crystal system = tetragonal
size of the total moment = 0.12 μB per formula unit

Unit cell a=5.106 b=5.106 c=5.540 alpha=90.00 beta=90.00 gamma=90.00
Space group P4/mmm (No. 123)
One atom of each set of equivalent atoms:
V (0.000, 0.000, 0.000)
Sb (0.000, 0.000, 0.500)
Se (0.500, 0.500, 0.500)
I (0.000, 0.500, 0.000)


Q wins, 546 meV/atom ahead of the next structure.